1.
DFT (PBE-GGA) results for MgTiAg3 after structural relaxation.

* energy: -2.787 eV per atom
* calculated density: 6.04 g cm⁻³

Geometry as CIF:
```
data_MgTiAg3
_chemical_formula_sum 'Mg1 Ti1 Ag3'
_cell_length_a 4.775
_cell_length_b 4.775
_cell_length_c 4.775
_cell_angle_alpha 90.00
_cell_angle_beta 90.00
_cell_angle_gamma 90.00
_space_group_name_H-M_alt 'P m -3 m'
_space_group_IT_number 221
_space_group_name_Hall '-P 4 2 3'
loop_
_atom_site_label
_atom_site_fract_x
_atom_site_fract_y
_atom_site_fract_z
_atom_site_occupancy
Mg1 0.000 0.000 0.000 1
Ti1 0.500 0.500 0.500 1
Ag1 0.000 0.000 0.500 1
```


2.
DFT (PBE-GGA) results for Mg3TiAg after structural relaxation.

* energy: -2.535 eV per atom
* calculated density: 3.14 g cm⁻³

Geometry as CIF:
```
data_Mg3TiAg
_chemical_formula_sum 'Mg3 Ti1 Ag1'
_cell_length_a 4.945
_cell_length_b 4.945
_cell_length_c 4.945
_cell_angle_alpha 90.00
_cell_angle_beta 90.00
_cell_angle_gamma 90.00
_space_group_name_H-M_alt 'P m -3 m'
_space_group_IT_number 221
_space_group_name_Hall '-P 4 2 3'
loop_
_atom_site_label
_atom_site_fract_x
_atom_site_fract_y
_atom_site_fract_z
_atom_site_occupancy
Mg1 0.000 0.000 0.500 1
Ti1 0.500 0.500 0.500 1
Ag1 0.000 0.000 0.000 1
```


3.
DFT (PBE-GGA) results for Mg3TiAg after structural relaxation.

* energy: -2.039 eV per atom
* calculated density: 2.46 g cm⁻³

Geometry as CIF:
```
data_Mg3TiAg
_chemical_formula_sum 'Mg3 Ti1 Ag1'
_cell_length_a 5.365
_cell_length_b 5.365
_cell_length_c 5.365
_cell_angle_alpha 90.00
_cell_angle_beta 90.00
_cell_angle_gamma 90.00
_space_group_name_H-M_alt 'P m -3 m'
_space_group_IT_number 221
_space_group_name_Hall '-P 4 2 3'
loop_
_atom_site_label
_atom_site_fract_x
_atom_site_fract_y
_atom_site_fract_z
_atom_site_occupancy
Mg1 0.000 0.000 0.500 1
Ti1 0.000 0.000 0.000 1
Ag1 0.500 0.500 0.500 1
```


4.
DFT (PBE-GGA) results for MgTi2Ag2 after structural relaxation.

* energy: -4.473 eV per atom
* calculated density: 5.96 g cm⁻³

Geometry as CIF:
```
data_MgTi2Ag2
_chemical_formula_sum 'Mg2 Ti4 Ag4'
_cell_length_a 7.701
_cell_length_b 7.701
_cell_length_c 3.156
_cell_angle_alpha 90.00
_cell_angle_beta 90.00
_cell_angle_gamma 90.00
_space_group_name_H-M_alt 'P 4/m b m'
_space_group_IT_number 127
_space_group_name_Hall '-P 4 2ab'
loop_
_atom_site_label
_atom_site_fract_x
_atom_site_fract_y
_atom_site_fract_z
_atom_site_occupancy
Mg1 0.000 0.000 0.000 1
Ti1 0.165 0.335 0.500 1
Ag1 0.131 0.631 0.000 1
```


5.
DFT (PBE-GGA) results for MgTiAg3 after structural relaxation.

* energy: -2.732 eV per atom
* calculated density: 5.16 g cm⁻³

Geometry as CIF:
```
data_MgTiAg3
_chemical_formula_sum 'Mg1 Ti1 Ag3'
_cell_length_a 5.031
_cell_length_b 5.031
_cell_length_c 5.031
_cell_angle_alpha 90.00
_cell_angle_beta 90.00
_cell_angle_gamma 90.00
_space_group_name_H-M_alt 'P m -3 m'
_space_group_IT_number 221
_space_group_name_Hall '-P 4 2 3'
loop_
_atom_site_label
_atom_site_fract_x
_atom_site_fract_y
_atom_site_fract_z
_atom_site_occupancy
Mg1 0.000 0.000 0.000 1
Ti1 0.500 0.500 0.500 1
Ag1 0.000 0.500 0.500 1
```


6.
DFT (PBE-GGA) results for MgTi2Ag2 after structural relaxation.

* energy: -4.400 eV per atom
* calculated density: 5.83 g cm⁻³

Geometry as CIF:
```
data_MgTi2Ag2
_chemical_formula_sum 'Mg2 Ti4 Ag4'
_cell_length_a 3.645
_cell_length_b 3.645
_cell_length_c 14.396
_cell_angle_alpha 90.00
_cell_angle_beta 90.00
_cell_angle_gamma 90.00
_space_group_name_H-M_alt 'I 4/m m m'
_space_group_IT_number 139
_space_group_name_Hall '-I 4 2'
loop_
_atom_site_label
_atom_site_fract_x
_atom_site_fract_y
_atom_site_fract_z
_atom_site_occupancy
Mg1 0.000 0.000 0.000 1
Ti1 0.000 0.500 0.250 1
Ag1 0.000 0.000 0.403 1
```


7.
DFT (PBE-GGA) results for MgTi2Ag2 after structural relaxation.

* energy: -4.409 eV per atom
* calculated density: 5.89 g cm⁻³

Geometry as CIF:
```
data_MgTi2Ag2
_chemical_formula_sum 'Mg2 Ti4 Ag4'
_cell_length_a 8.076
_cell_length_b 8.076
_cell_length_c 2.905
_cell_angle_alpha 90.00
_cell_angle_beta 90.00
_cell_angle_gamma 90.00
_space_group_name_H-M_alt 'P 4/m b m'
_space_group_IT_number 127
_space_group_name_Hall '-P 4 2ab'
loop_
_atom_site_label
_atom_site_fract_x
_atom_site_fract_y
_atom_site_fract_z
_atom_site_occupancy
Mg1 0.000 0.000 0.000 1
Ti1 0.112 0.388 0.000 1
Ag1 0.182 0.682 0.500 1
```


8.
DFT (PBE-GGA) results for MgTiTlAg after structural relaxation.

* energy: -3.605 eV per atom
* calculated density: 8.15 g cm⁻³

Geometry as CIF:
```
data_MgTiTlAg
_chemical_formula_sum 'Mg4 Ti4 Tl4 Ag4'
_cell_length_a 6.792
_cell_length_b 6.792
_cell_length_c 6.792
_cell_angle_alpha 90.00
_cell_angle_beta 90.00
_cell_angle_gamma 90.00
_space_group_name_H-M_alt 'F -4 3 m'
_space_group_IT_number 216
_space_group_name_Hall 'F -4 2 3'
loop_
_atom_site_label
_atom_site_fract_x
_atom_site_fract_y
_atom_site_fract_z
_atom_site_occupancy
Mg1 0.000 0.000 0.000 1
Ti1 0.000 0.000 0.500 1
Tl1 0.250 0.250 0.250 1
Ag1 0.250 0.250 0.750 1
```


9.
DFT (PBE-GGA) results for MgTiTl2Ag after structural relaxation.

* energy: -2.621 eV per atom
* calculated density: 6.95 g cm⁻³

Geometry as CIF:
```
data_MgTiTl2Ag
_chemical_formula_sum 'Mg1 Ti1 Tl2 Ag1'
_cell_length_a 5.319
_cell_length_b 5.319
_cell_length_c 4.971
_cell_angle_alpha 90.00
_cell_angle_beta 90.00
_cell_angle_gamma 90.00
_space_group_name_H-M_alt 'P 4/m m m'
_space_group_IT_number 123
_space_group_name_Hall '-P 4 2'
loop_
_atom_site_label
_atom_site_fract_x
_atom_site_fract_y
_atom_site_fract_z
_atom_site_occupancy
Mg1 0.000 0.000 0.000 1
Ti1 0.500 0.500 0.000 1
Tl1 0.000 0.500 0.500 1
Ag1 0.000 0.000 0.500 1
```


10.
DFT (PBE-GGA) results for Mg2ZrTiAg after structural relaxation.

* energy: -3.369 eV per atom
* calculated density: 3.57 g cm⁻³

Geometry as CIF:
```
data_Mg2ZrTiAg
_chemical_formula_sum 'Mg2 Zr1 Ti1 Ag1'
_cell_length_a 5.482
_cell_length_b 5.482
_cell_length_c 4.574
_cell_angle_alpha 90.00
_cell_angle_beta 90.00
_cell_angle_gamma 90.00
_space_group_name_H-M_alt 'P 4/m m m'
_space_group_IT_number 123
_space_group_name_Hall '-P 4 2'
loop_
_atom_site_label
_atom_site_fract_x
_atom_site_fract_y
_atom_site_fract_z
_atom_site_occupancy
Mg1 0.000 0.500 0.000 1
Zr1 0.000 0.000 0.000 1
Ti1 0.000 0.000 0.500 1
Ag1 0.500 0.500 0.500 1
```


11.
DFT (PBE-GGA) results for Mg7Tl2Ag after structural relaxation.

* energy: -1.937 eV per atom
* calculated density: 5.00 g cm⁻³

Geometry as CIF:
```
data_Mg7Tl2Ag
_chemical_formula_sum 'Mg28 Tl8 Ag4'
_cell_length_a 14.397
_cell_length_b 8.296
_cell_length_c 9.868
_cell_angle_alpha 90.00
_cell_angle_beta 129.24
_cell_angle_gamma 90.00
_space_group_name_H-M_alt 'C 1 2/c 1'
_space_group_IT_number 15
loop_
_space_group_symop_operation_xyz
'x,y,z'
'-x,-y,-z'
'-x,y,-z+1/2'
'x,-y,z+1/2'
'x+1/2,y+1/2,z'
'-x+1/2,-y+1/2,-z'
'-x+1/2,y+1/2,-z+1/2'
'x+1/2,-y+1/2,z+1/2'
loop_
_atom_site_label
_atom_site_fract_x
_atom_site_fract_y
_atom_site_fract_z
_atom_site_occupancy
Mg1 0.000 0.147 0.250 1
Mg2 0.085 0.349 0.084 1
Mg3 0.133 0.223 0.802 1
Mg4 0.205 0.370 0.555 1
Tl1 0.165 0.006 0.088 1
Ag1 0.000 0.499 0.750 1
```


12.
DFT (PBE-GGA) results for MgTl2Ag after structural relaxation.

* energy: -2.242 eV per atom
* calculated density: 9.33 g cm⁻³

Geometry as CIF:
```
data_MgTl2Ag
_chemical_formula_sum 'Mg2 Tl4 Ag2'
_cell_length_a 4.650
_cell_length_b 4.650
_cell_length_c 8.909
_cell_angle_alpha 90.00
_cell_angle_beta 90.00
_cell_angle_gamma 90.00
_space_group_name_H-M_alt 'I 4/m m m'
_space_group_IT_number 139
_space_group_name_Hall '-I 4 2'
loop_
_atom_site_label
_atom_site_fract_x
_atom_site_fract_y
_atom_site_fract_z
_atom_site_occupancy
Mg1 0.000 0.000 0.000 1
Tl1 0.000 0.500 0.250 1
Ag1 0.000 0.000 0.500 1
```


13.
DFT (PBE-GGA) results for MgTl2Ag after structural relaxation.

* energy: -2.248 eV per atom
* calculated density: 9.30 g cm⁻³

Geometry as CIF:
```
data_MgTl2Ag
_chemical_formula_sum 'Mg2 Tl4 Ag2'
_cell_length_a 4.464
_cell_length_b 4.464
_cell_length_c 9.694
_cell_angle_alpha 90.00
_cell_angle_beta 90.00
_cell_angle_gamma 90.00
_space_group_name_H-M_alt 'I -4 m 2'
_space_group_IT_number 119
_space_group_name_Hall 'I -4 -2'
loop_
_atom_site_label
_atom_site_fract_x
_atom_site_fract_y
_atom_site_fract_z
_atom_site_occupancy
Mg1 0.000 0.000 0.000 1
Tl1 0.000 0.000 0.500 1
Tl2 0.000 0.500 0.750 1
Ag1 0.000 0.500 0.250 1
```


Total magnetic moment? In order: 0.03; 0.00; 3.06; 3.50; 1.31; 0.00; 3.13; 0.02; 0.20; 0.00; 0.00; 0.00; 0.00 Bohr magnetons per cell.
DOS at the Fermi energy? In order: 8.21; 6.21; 4.73; 4.51; 3.61; 3.27; 4.31; 2.80; 8.26; 4.79; 3.08; 1.41; 1.28 states/eV/f.u..